VASP calculation (SCAN) on WS2O8 at its PBEsol-relaxed geometry.

Results
- total moment (μB per formula unit) = 2.00
- ΔE_f (raw) (eV per atom) = -1.4828
- uncorrected energy (eV for the cell shown) = -1240.8
- theoretical density (Mg/m³) = 4.4

The structure in CIF format:
```
data_WS2O8
_cell_length_a 9.1606
_cell_length_b 13.1867
_cell_length_c 9.3739
_cell_angle_alpha 90.00
_cell_angle_beta 90.00
_cell_angle_gamma 90.00
_space_group_name_H-M_alt 'P b c a'
_space_group_IT_number 61
loop_
_space_group_symop_operation_xyz
'x,y,z'
'-x,-y,-z'
'-x+1/2,-y,z+1/2'
'x+1/2,y,-z+1/2'
'x+1/2,-y+1/2,-z'
'-x+1/2,y+1/2,z'
'-x,y+1/2,-z+1/2'
'x,-y+1/2,z+1/2'
loop_
_atom_site_label
_atom_site_fract_x
_atom_site_fract_y
_atom_site_fract_z
_atom_site_occupancy
W1 0.1073 0.1270 0.1419 1
S1 0.0626 0.7183 0.0766 1
S2 0.1892 0.0158 0.8460 1
O1 0.0028 0.7197 0.2284 1
O2 0.0126 0.6354 0.9926 1
O3 0.0255 0.6783 0.5198 1
O4 0.0330 0.5162 0.3150 1
O5 0.2010 0.0265 0.0066 1
O6 0.2209 0.0768 0.3133 1
O7 0.2271 0.1047 0.7693 1
O8 0.2277 0.7211 0.0932 1
```